1.
Ce2Ag5Au | PBE | relaxed

Geometry as extended XYZ:
```
16
Lattice="-2.942 -2.872 0.704 0.248 0.548 -9.086 6.913 -7.141 -0.242" Properties=species:S:1:pos:R:3 pbc="T T T"
Ce 3.456 -3.570 -0.121
Ag 0.790 -2.466 -6.763
Ag 5.839 -7.597 -6.590
Ag 3.429 -6.998 -1.861
Ce 0.000 0.000 0.000
Ag -1.458 -2.711 -4.797
Au 0.157 -3.294 -0.424
Ag 0.538 -4.773 -4.867
Ag 5.677 -6.753 -3.827
Ag 1.469 -5.059 -2.142
Ag -1.621 -1.867 -2.034
Ce 2.932 -7.359 -5.412
Ag 2.750 -4.406 -6.482
Ag 3.681 -4.691 -3.757
Au 4.062 -6.170 -8.200
Ce 1.287 -2.105 -3.212
```

The value obtained for the energy of formation is -0.16 eV per atom.

2.
Ce3AgAu | PBE | relaxed

Geometry as extended XYZ:
```
20
Lattice="4.016 0.000 0.000 0.000 11.858 0.000 0.000 0.000 10.716" Properties=species:S:1:pos:R:3 pbc="T T T"
Au 1.004 0.532 2.322
Au 1.004 5.396 7.680
Ag 3.012 4.253 9.715
Ag 1.004 7.604 1.001
Ag 1.004 10.182 6.359
Ce 1.004 4.425 4.238
Ce 3.012 10.354 1.120
Ce 1.004 8.654 3.731
Ce 3.012 3.204 6.985
Ag 3.012 1.676 4.357
Ce 1.004 1.351 6.786
Au 3.012 6.461 3.036
Au 3.012 11.325 8.394
Ce 3.012 7.279 9.288
Ce 3.012 7.432 6.478
Ce 1.004 1.503 9.596
Ce 3.012 2.725 1.627
Ce 3.012 10.507 3.930
Ce 1.004 4.578 1.428
Ce 1.004 9.133 9.089
```

The value obtained for the energy of formation is -0.15 eV per atom. As for the energy above the most stable polymorph in this dataset: 17 meV per atom.

3.
Ce3AgAu | PBE | relaxed

Geometry as extended XYZ:
```
10
Lattice="-4.224 -1.062 3.187 1.679 -5.631 0.350 -1.859 0.138 11.142" Properties=species:S:1:pos:R:3 pbc="T T T"
Ce 0.000 0.000 0.000
Ce -3.952 -1.956 12.248
Ag -4.000 -5.110 11.234
Ce -1.708 -1.661 6.226
Ce -0.452 -4.599 2.431
Au -3.009 -1.877 8.993
Au -1.395 -4.678 5.686
Ce -2.695 -4.894 8.453
Ce 0.839 -2.815 0.175
Ag -0.403 -1.445 3.445
```

The value obtained for the energy of formation is -0.17 eV per atom. As for the energy above the most stable polymorph in this dataset: 0 meV per atom.

4.
Ce6AgAu5 | PBE | relaxed

Geometry as extended XYZ:
```
12
Lattice="-4.755 -1.250 -1.613 4.147 -7.768 2.105 -1.008 6.409 6.315" Properties=species:S:1:pos:R:3 pbc="T T T"
Ce -2.099 0.505 5.811
Ce -0.315 -4.402 4.353
Au -0.808 -1.305 3.403
Au -2.591 3.596 4.859
Au 2.419 -3.016 3.516
Ce -2.797 -1.301 0.956
Ag 0.000 0.000 0.000
Au 0.974 -6.206 1.948
Ce 0.482 -3.115 0.996
Ce 1.180 -1.309 5.851
Ce -1.302 1.792 2.453
Au 0.719 1.657 4.904
```

The value obtained for the energy of formation is -0.51 eV per atom.

5.
Ce2Ag3Au | PBE | relaxed

Geometry as extended XYZ:
```
6
Lattice="3.247 0.000 0.000 0.000 4.898 0.000 0.000 0.000 8.504" Properties=species:S:1:pos:R:3 pbc="T T T"
Ce 0.000 2.449 0.072
Ag 1.623 0.000 1.387
Ag 1.623 2.449 5.697
Ce 0.000 0.000 4.182
Ag 1.623 0.000 7.075
Au 1.623 2.449 2.847
```

The value obtained for the energy of formation is -0.30 eV per atom.

6.
CeAgAu6 | PBE | relaxed

Geometry as extended XYZ:
```
8
Lattice="-3.278 3.468 -2.648 -3.301 -4.136 -1.331 -2.852 0.803 4.583" Properties=species:S:1:pos:R:3 pbc="T T T"
Au -2.373 -1.865 0.495
Ce 0.000 0.000 0.000
Au -4.104 -1.355 -2.317
Au -2.256 1.279 1.621
Au -3.781 -1.469 2.757
Ag -4.716 0.067 0.302
Au -2.475 0.686 -1.661
Au -3.874 2.991 0.314
```

The value obtained for the energy of formation is -0.24 eV per atom.

7.
CeAg4Au4 | PBE | relaxed

Geometry as extended XYZ:
```
18
Lattice="-2.086 2.799 -0.612 -7.816 -4.974 3.898 2.219 3.644 9.100" Properties=species:S:1:pos:R:3 pbc="T T T"
Ag -6.483 -0.948 7.503
Ce -3.842 0.735 6.193
Ce 0.000 0.000 0.000
Ag -5.175 -3.291 2.588
Ag -3.098 1.962 9.269
Ag -0.422 1.962 10.410
Au -5.675 0.302 10.463
Au -0.544 3.565 7.895
Au -3.764 -0.897 8.728
Au -2.009 1.167 1.923
Ag -8.427 0.242 9.310
Au -4.519 -2.144 5.600
Ag -4.586 -0.493 3.117
Au -1.079 0.814 7.398
Ag -1.200 2.417 4.883
Au -7.139 -2.096 4.491
Au -1.833 -0.432 4.270
Ag -1.342 4.026 2.464
```

The value obtained for the energy of formation is -0.15 eV per atom.

8.
Ce4AgAu2 | PBE | relaxed

Geometry as extended XYZ:
```
7
Lattice="-1.628 -2.249 -3.833 5.711 -2.578 -0.913 -3.181 -4.025 3.712" Properties=species:S:1:pos:R:3 pbc="T T T"
Ce 2.042 -2.413 -2.373
Ce 2.068 -5.396 2.288
Au -0.565 -3.599 2.352
Ce -2.404 -3.137 -0.061
Au 3.096 -3.003 0.447
Ce 0.462 -1.206 0.511
Ag 0.451 -4.426 -0.517
```

The value obtained for the energy of formation is -0.27 eV per atom. As for the energy above the most stable polymorph in this dataset: 0 meV per atom.

9.
Ce2AgAu6 | PBE | relaxed

Geometry as extended XYZ:
```
9
Lattice="3.225 0.001 0.003 0.007 7.227 4.155 0.006 0.014 8.336" Properties=species:S:1:pos:R:3 pbc="T T T"
Au 1.625 7.232 6.904
Au 1.613 4.845 2.787
Ce 0.004 2.413 4.163
Ag 0.000 0.000 0.000
Ce 3.233 4.828 8.330
Au 1.612 0.010 5.590
Au 1.618 2.392 6.959
Au 1.624 2.396 9.707
Au 1.619 4.850 5.534
```

The value obtained for the energy of formation is -0.39 eV per atom.

10.
CeAg4Au | PBE | relaxed

Geometry as extended XYZ:
```
6
Lattice="5.560 0.000 0.000 2.780 4.815 0.000 2.780 1.605 4.540" Properties=species:S:1:pos:R:3 pbc="T T T"
Ag 4.164 4.016 2.840
Ag 5.560 3.210 0.559
Ce 2.780 1.605 1.135
Au 0.000 0.000 0.000
Ag 5.560 1.598 2.840
Ag 6.957 4.016 2.840
```

The value obtained for the energy of formation is -0.16 eV per atom.

11.
Ce3AgAu3 | PBE | relaxed

Geometry as extended XYZ:
```
7
Lattice="-4.265 -1.687 -0.587 1.442 -3.182 -1.331 1.634 -1.408 10.392" Properties=species:S:1:pos:R:3 pbc="T T T"
Ce 0.859 -3.970 5.174
Ce 0.002 -0.039 0.096
Ce -2.049 -2.278 3.227
Ag 0.193 -3.322 8.154
Au -1.382 -2.941 0.284
Au 0.789 -2.757 2.196
Au -1.977 -3.527 6.293
```

The value obtained for the energy of formation is -0.51 eV per atom.

12.
CeAg2Au2 | PBE | relaxed

Geometry as extended XYZ:
```
5
Lattice="4.007 0.424 -0.205 -0.437 4.005 -0.205 -1.467 -1.820 6.993" Properties=species:S:1:pos:R:3 pbc="T T T"
Ag -0.060 2.201 3.291
Ce 0.000 0.000 0.000
Au 1.851 2.296 1.172
Au 0.252 0.313 5.410
Ag 2.163 0.408 3.291
```

The value obtained for the energy of formation is -0.32 eV per atom.

13.
Ce3AgAu2 | PBE | relaxed

Geometry as extended XYZ:
```
6
Lattice="3.830 0.000 0.000 0.000 4.830 -1.599 0.000 0.027 8.177" Properties=species:S:1:pos:R:3 pbc="T T T"
Au 0.000 3.167 1.473
Au 0.000 1.690 5.105
Ce 1.915 0.877 2.648
Ag 0.000 0.000 0.000
Ce 1.915 2.415 -0.800
Ce 1.915 3.981 3.929
```

The value obtained for the energy of formation is -0.42 eV per atom.

14.
CeAg2Au | PBE | relaxed

Geometry as extended XYZ:
```
8
Lattice="-2.226 2.732 2.780 0.988 -5.087 2.170 6.721 2.538 2.888" Properties=species:S:1:pos:R:3 pbc="T T T"
Au 3.857 1.181 5.556
Au 1.626 -0.998 2.282
Ag 6.240 -0.368 5.362
Ce 5.022 1.346 2.700
Ag 3.656 -1.343 4.251
Ag -0.757 0.550 2.477
Ce 0.462 -1.164 5.138
Ag 1.827 1.526 3.587
```

The value obtained for the energy of formation is -0.31 eV per atom. As for the energy above the most stable polymorph in this dataset: 0 meV per atom.

15.
Ce2CuAgAu6 | PBE | relaxed

Geometry as extended XYZ:
```
10
Lattice="6.960 -0.404 -1.350 -0.350 6.804 1.185 2.388 4.106 5.044" Properties=species:S:1:pos:R:3 pbc="T T T"
Au 3.014 3.893 2.560
Au 0.877 2.317 1.016
Ce 2.823 6.977 2.917
Au 8.122 8.190 3.863
Ag 3.305 3.200 -0.083
Ce 6.176 3.529 1.962
Cu 0.000 0.000 0.000
Au 1.620 5.246 0.647
Au 5.985 6.613 2.318
Au 7.379 5.261 4.232
```

The value obtained for the energy of formation is -0.26 eV per atom.

16.
CeGa2AgAu2 | PBE | relaxed

Geometry as extended XYZ:
```
6
Lattice="-0.946 -1.302 4.245 3.786 -1.465 -2.034 3.383 5.395 2.409" Properties=species:S:1:pos:R:3 pbc="T T T"
Au 4.652 2.486 1.799
Au 1.571 0.142 2.822
Ce 0.000 0.000 0.000
Ga 3.184 0.145 0.754
Ga 3.038 2.483 3.867
Ag 1.691 2.698 1.205
```

The value obtained for the energy of formation is -0.45 eV per atom.

17.
CeGa2AgAu4 | PBE | relaxed

Geometry as extended XYZ:
```
8
Lattice="-3.559 2.613 1.063 -2.481 -0.932 3.688 3.322 5.826 6.502" Properties=species:S:1:pos:R:3 pbc="T T T"
Ce 0.000 0.000 0.000
Au -4.036 3.659 6.598
Au -3.073 2.062 4.046
Ga -2.131 5.539 8.354
Ag -1.358 3.754 5.626
Ga -0.586 1.969 2.899
Au 1.319 3.849 4.655
Au 0.356 5.446 7.207
```

The value obtained for the energy of formation is -0.34 eV per atom.

18.
CeGaAgAu | PBE | relaxed

Geometry as extended XYZ:
```
4
Lattice="-0.336 -1.495 -4.678 2.454 -3.999 -1.488 -2.451 -4.125 -1.095" Properties=species:S:1:pos:R:3 pbc="T T T"
Ce -0.250 -7.214 -5.446
Ag -0.083 -2.405 -1.815
Ga -0.167 -4.809 -3.631
Au 0.000 0.000 0.000
```

The value obtained for the energy of formation is -0.41 eV per atom.

19.
CeAgGeAu | PBE | relaxed

Geometry as extended XYZ:
```
4
Lattice="-3.973 -1.832 -2.278 -1.232 -4.736 0.618 -4.013 -1.183 2.611" Properties=species:S:1:pos:R:3 pbc="T T T"
Ge -2.305 -1.938 0.238
Ce 0.000 0.000 0.000
Ag -4.609 -3.876 0.476
Au -6.914 -5.813 0.714
```

The value obtained for the energy of formation is -0.42 eV per atom.

20.
CeInAgAu | PBE | relaxed

Geometry as extended XYZ:
```
4
Lattice="5.036 0.000 0.000 2.518 4.362 0.000 2.518 1.454 4.112" Properties=species:S:1:pos:R:3 pbc="T T T"
Ag 2.518 1.454 1.028
Ce 0.000 0.000 0.000
Au 7.554 4.362 3.084
In 5.036 2.908 2.056
```

The value obtained for the energy of formation is -0.45 eV per atom.

21.
LaCeAgAu | PBE | relaxed

Geometry as extended XYZ:
```
4
Lattice="3.758 0.000 0.000 0.000 3.758 0.000 0.000 0.000 7.524" Properties=species:S:1:pos:R:3 pbc="T T T"
Au 0.000 0.000 2.599
Ce 1.879 1.879 0.870
La 1.879 1.879 4.516
Ag 0.000 0.000 6.521
```

The value obtained for the energy of formation is -0.42 eV per atom. As for the energy above the most stable polymorph in this dataset: 0 meV per atom.

22.
LaCeAgAu | PBE | relaxed

Geometry as extended XYZ:
```
4
Lattice="5.314 0.000 0.000 2.657 4.602 0.000 2.657 1.534 4.339" Properties=species:S:1:pos:R:3 pbc="T T T"
Ce 5.314 3.068 2.169
La 0.000 0.000 0.000
Ag 2.657 1.534 1.085
Au 7.971 4.602 3.254
```

The value obtained for the energy of formation is -0.41 eV per atom. As for the energy above the most stable polymorph in this dataset: 11 meV per atom.

23.
Li2CeAgAu2 | PBE | relaxed

Geometry as extended XYZ:
```
6
Lattice="4.511 0.000 0.000 -2.256 3.907 0.000 0.000 0.000 6.742" Properties=species:S:1:pos:R:3 pbc="T T T"
Ce 0.000 0.000 0.000
Li 0.000 2.605 4.364
Au 2.256 1.302 5.032
Au 0.000 2.605 1.710
Ag 0.000 0.000 3.371
Li 2.256 1.302 2.377
```

The value obtained for the energy of formation is -0.47 eV per atom.

24.
Li2CeAgAu4 | PBE | relaxed

Geometry as extended XYZ:
```
8
Lattice="4.544 0.000 0.000 2.272 3.935 0.000 2.272 1.312 8.837" Properties=species:S:1:pos:R:3 pbc="T T T"
Li 2.272 1.312 2.774
Au 6.816 3.935 3.163
Au 2.272 1.312 5.675
Au 4.544 2.624 1.603
Ag 4.544 2.624 4.419
Ce 0.000 0.000 0.000
Au 4.544 2.624 7.235
Li 6.816 3.935 6.064
```

The value obtained for the energy of formation is -0.46 eV per atom.